Record 1
Material: ScHg2F
Method: DFT, PBE-GGA
State: relaxed

```
ScHg2F
1.0
4.042 1.554 2.182
0.661 -0.803 4.737
3.340 -3.192 1.475
F Hg Sc
1 2 1
Direct
0.000 0.000 0.000
0.250 0.250 0.250
0.750 0.750 0.750
0.500 0.500 0.500
```

Computed properties:
Polymorph energy (0 for the lowest one) = 0.418 eV per atom
Magnetic moment = 0.00 μB per formula unit
E = -11.2 eV for the cell shown
Raw formation energy = -0.5863 eV per atom
Fermi-level density of states = 3.41 states/eV/f.u.
Space group = No. 225

Record 2
Material: ScHgF4
Method: DFT, PBE-GGA
State: relaxed

```
ScHgF4
1.0
-4.608 1.002 -2.398
0.624 -4.740 -3.181
-3.290 -2.497 5.278
F Hg Sc
8 2 2
Direct
0.696 0.780 0.926
0.116 0.906 0.709
0.196 0.720 0.074
0.304 0.220 0.074
0.616 0.594 0.291
0.804 0.280 0.926
0.384 0.406 0.709
0.884 0.094 0.291
0.000 0.500 0.500
0.500 0.000 0.500
0.000 0.000 0.000
0.500 0.500 0.000
```

Computed properties:
Magnetic moment = 0.00 μB per formula unit
E = -62.8 eV for the cell shown
Raw formation energy = -2.8836 eV per atom
Fermi-level density of states = 1.22 states/eV/f.u.
Space group = No. 14

Record 3
Material: Sc2HgF
Method: DFT, PBE-GGA
State: relaxed

```
Sc2HgF
1.0
5.554 0.000 0.000
0.000 5.554 0.000
2.777 2.777 5.738
Hg F Sc
2 2 4
Direct
0.000 0.000 0.000
0.750 0.250 0.500
0.250 0.750 0.500
0.500 0.500 0.000
0.520 0.125 0.250
0.230 0.625 0.250
0.375 0.480 0.750
0.875 0.770 0.750
```

Computed properties:
Polymorph energy (0 for the lowest one) = 0.000 eV per atom
Magnetic moment = 0.00 μB per formula unit
E = -38.5 eV for the cell shown
Raw formation energy = -1.0997 eV per atom
Fermi-level density of states = 3.15 states/eV/f.u.
Space group = No. 122

Record 4
Material: ScHg2F6
Method: DFT, PBE-GGA
State: relaxed

```
ScHg2F6
1.0
5.551 0.000 -1.789
0.000 5.565 0.000
0.049 0.000 9.657
F Sc Hg
12 2 4
Direct
0.103 0.117 0.207
0.775 0.750 0.049
0.974 0.750 0.447
0.275 0.750 0.049
0.603 0.383 0.207
0.397 0.617 0.793
0.026 0.250 0.553
0.474 0.750 0.447
0.725 0.250 0.951
0.225 0.250 0.951
0.526 0.250 0.553
0.897 0.883 0.793
0.500 0.500 0.000
0.000 0.000 0.000
0.182 0.448 0.364
0.318 0.948 0.636
0.682 0.052 0.364
0.818 0.552 0.636
```

Computed properties:
Magnetic moment = 0.00 μB per formula unit
E = -79.4 eV for the cell shown
Raw formation energy = -2.3928 eV per atom
Fermi-level density of states = 1.21 states/eV/f.u.
Space group = No. 64

Record 5
Material: Sc2HgF
Method: DFT, PBE-GGA
State: relaxed

```
Sc2HgF
1.0
0.000 3.392 3.392
3.392 0.000 3.392
3.392 3.392 0.000
Sc F Hg
2 1 1
Direct
0.250 0.250 0.250
0.750 0.750 0.750
0.000 0.000 0.000
0.500 0.500 0.500
```

Computed properties:
Polymorph energy (0 for the lowest one) = 0.236 eV per atom
Magnetic moment = 0.00 μB per formula unit
E = -18.3 eV for the cell shown
Raw formation energy = -0.8638 eV per atom
Fermi-level density of states = 4.79 states/eV/f.u.
Space group = No. 225

Record 6
Material: Sc2HgF
Method: DFT, PBE-GGA
State: relaxed

```
Sc2HgF
1.0
1.995 0.000 8.247
-0.998 1.728 8.247
-0.998 -1.728 8.247
Sc Hg F
2 1 1
Direct
0.883 0.883 0.883
0.117 0.117 0.117
0.000 0.000 0.000
0.500 0.500 0.500
```

Computed properties:
Polymorph energy (0 for the lowest one) = 0.250 eV per atom
Magnetic moment = 0.00 μB per formula unit
E = -18.2 eV for the cell shown
Raw formation energy = -0.8497 eV per atom
Fermi-level density of states = 5.12 states/eV/f.u.
Space group = No. 166

Record 7
Material: ScHg2F2
Method: DFT, PBE-GGA
State: relaxed

```
ScHg2F2
1.0
5.804 0.000 0.000
0.000 5.804 0.000
0.000 0.000 6.455
Hg Sc F
4 2 4
Direct
0.751 0.251 0.500
0.251 0.249 0.500
0.249 0.749 0.500
0.749 0.751 0.500
0.500 0.500 0.000
0.000 0.000 0.000
0.251 0.751 0.000
0.749 0.249 0.000
0.751 0.749 0.000
0.249 0.251 0.000
```

Computed properties:
Magnetic moment = 0.00 μB per formula unit
E = -40.8 eV for the cell shown
Raw formation energy = -1.9481 eV per atom
Fermi-level density of states = 1.87 states/eV/f.u.
Space group = No. 127

Record 8
Material: Sc3HgF
Method: DFT, PBE-GGA
State: relaxed

```
Sc3HgF
1.0
-3.021 -3.300 0.560
2.176 -1.363 3.707
-2.544 2.754 2.506
Sc Hg F
3 1 1
Direct
0.000 0.000 0.500
0.000 0.500 0.000
0.500 0.000 0.000
0.500 0.500 0.500
0.000 0.000 0.000
```

Computed properties:
Polymorph energy (0 for the lowest one) = 0.000 eV per atom
Magnetic moment = 0.00 μB per formula unit
E = -26.3 eV for the cell shown
Raw formation energy = -1.0256 eV per atom
Fermi-level density of states = 4.53 states/eV/f.u.
Space group = No. 221

Record 9
Material: ScHg2F8
Method: DFT, PBE-GGA
State: relaxed

```
ScHg2F8
1.0
-1.146 1.433 4.031
-1.828 -6.314 1.725
6.373 2.104 1.065
F Hg Sc
8 2 1
Direct
0.753 0.853 0.145
0.247 0.708 0.853
0.753 0.292 0.147
0.247 0.147 0.855
0.753 0.855 0.708
0.257 0.667 0.333
0.247 0.145 0.292
0.743 0.333 0.667
0.758 0.667 0.333
0.242 0.333 0.667
0.000 0.000 0.000
```

Computed properties:
Magnetic moment = 0.00 μB per formula unit
E = -45.4 eV for the cell shown
Raw formation energy = -2.1321 eV per atom
Fermi-level density of states = 3.91 states/eV/f.u.
Space group = No. 147

Record 10
Material: ScHgSeF2
Method: DFT, PBE-GGA
State: relaxed

```
ScHgSeF2
1.0
4.147 0.000 0.000
0.000 4.147 0.000
0.000 0.000 5.504
Sc F Se Hg
1 2 1 1
Direct
0.000 0.000 0.000
0.000 0.500 0.000
0.500 0.000 0.000
0.000 0.000 0.500
0.500 0.500 0.500
```

Computed properties:
Magnetic moment = 0.00 μB per formula unit
E = -25.4 eV for the cell shown
Raw formation energy = -2.3034 eV per atom
Fermi-level density of states = 0.65 states/eV/f.u.
Space group = No. 123

Record 11
Material: ScTaHgF2
Method: DFT, PBE-GGA
State: relaxed

```
ScTaHgF2
1.0
-3.198 1.390 -2.153
-3.534 -1.721 4.137
0.358 3.652 1.825
Ta F Hg Sc
1 2 1 1
Direct
0.000 0.000 0.000
0.500 0.000 0.000
0.000 0.000 0.500
0.000 0.500 0.000
0.500 0.500 0.500
```

Computed properties:
Magnetic moment = 0.00 μB per formula unit
E = -27.4 eV for the cell shown
Raw formation energy = -1.0392 eV per atom
Fermi-level density of states = 2.46 states/eV/f.u.
Space group = No. 123

Record 12
Material: ScTcHgF2
Method: DFT, PBE-GGA
State: relaxed

```
ScTcHgF2
1.0
-1.310 1.797 -3.312
5.011 -1.742 -2.927
-1.821 -3.372 -1.110
Hg Tc F Sc
1 1 2 1
Direct
0.500 0.500 0.500
0.000 0.500 0.000
0.000 0.000 0.500
0.500 0.000 0.000
0.000 0.000 0.000
```

Computed properties:
Magnetic moment = 1.95 μB per formula unit
E = -27.7 eV for the cell shown
Raw formation energy = -1.3885 eV per atom
Fermi-level density of states = 4.41 states/eV/f.u.
Space group = No. 123

Record 13
Material: ScTlHgF6
Method: DFT, PBE-GGA
State: relaxed

```
ScTlHgF6
1.0
-2.557 -1.858 5.117
3.400 -2.251 4.422
0.589 5.158 2.170
F Tl Hg Sc
6 1 1 1
Direct
0.398 0.639 0.298
0.638 0.398 0.702
0.963 0.639 0.702
0.639 0.963 0.298
0.964 0.397 0.299
0.397 0.964 0.701
0.000 0.000 0.000
0.333 0.334 0.500
0.667 0.667 0.500
```

Computed properties:
Magnetic moment = 0.00 μB per formula unit
E = -44.0 eV for the cell shown
Raw formation energy = -2.6384 eV per atom
Fermi-level density of states = 0.00 states/eV/f.u.
Space group = No. 149

Record 14
Material: ScTl2HgF6
Method: DFT, PBE-GGA
State: relaxed

```
ScTl2HgF6
1.0
-3.297 0.075 -5.353
-5.002 -3.551 3.032
-3.980 7.792 2.560
F Sc Hg Tl
12 2 2 4
Direct
0.234 0.578 0.000
0.734 0.422 0.500
0.264 0.012 0.500
0.736 0.012 0.500
0.236 0.988 0.000
0.000 0.805 0.223
0.500 0.195 0.277
0.764 0.988 0.000
0.266 0.422 0.500
0.766 0.578 0.000
0.500 0.195 0.723
0.000 0.805 0.777
0.000 0.780 0.000
0.500 0.220 0.500
0.500 0.291 0.000
0.000 0.709 0.500
0.500 0.791 0.229
0.000 0.209 0.271
0.500 0.791 0.771
0.000 0.209 0.729
```

Computed properties:
Magnetic moment = 0.71 μB per formula unit
E = -94.0 eV for the cell shown
Raw formation energy = -2.4411 eV per atom
Fermi-level density of states = 3.16 states/eV/f.u.
Space group = No. 59

Record 15
Material: Hg2SeF2
Method: DFT, PBE-GGA
State: relaxed

```
Hg2SeF2
1.0
7.279 0.000 0.000
0.000 8.463 -1.111
0.000 -0.084 7.086
F Hg Se
8 8 4
Direct
0.807 0.934 0.914
0.008 0.377 0.212
0.193 0.066 0.086
0.693 0.434 0.914
0.508 0.123 0.788
0.492 0.877 0.212
0.307 0.566 0.086
0.992 0.623 0.788
0.172 0.382 0.905
0.672 0.118 0.095
0.727 0.248 0.613
0.773 0.748 0.613
0.328 0.882 0.905
0.273 0.752 0.387
0.227 0.252 0.387
0.828 0.618 0.095
0.061 0.157 0.672
0.439 0.657 0.672
0.561 0.343 0.328
0.939 0.843 0.328
```

Computed properties:
Polymorph energy (0 for the lowest one) = 0.032 eV per atom
Magnetic moment = 0.00 μB per formula unit
E = -50.6 eV for the cell shown
Raw formation energy = -0.9639 eV per atom
Space group = No. 14

Record 16
Material: HgSe3F
Method: DFT, PBE-GGA
State: relaxed

```
HgSe3F
1.0
4.749 0.000 0.000
0.000 4.749 0.000
0.000 0.000 4.749
Hg Se F
1 3 1
Direct
0.500 0.500 0.500
0.500 0.000 0.000
0.000 0.500 0.000
0.000 0.000 0.500
0.000 0.000 0.000
```

Computed properties:
Polymorph energy (0 for the lowest one) = 0.000 eV per atom
Magnetic moment = 0.00 μB per formula unit
E = -10.6 eV for the cell shown
Raw formation energy = 0.4040 eV per atom
Fermi-level density of states = 3.08 states/eV/f.u.
Space group = No. 221

Record 17
Material: Hg2SeF
Method: DFT, PBE-GGA
State: relaxed

```
Hg2SeF
1.0
3.940 -1.521 2.329
0.406 -4.631 1.283
3.176 -2.854 -2.242
Hg F Se
2 1 1
Direct
0.250 0.250 0.250
0.750 0.750 0.750
0.000 0.000 0.000
0.500 0.500 0.500
```

Computed properties:
Polymorph energy (0 for the lowest one) = 0.222 eV per atom
Magnetic moment = 0.00 μB per formula unit
E = -7.6 eV for the cell shown
Raw formation energy = -0.3998 eV per atom
Fermi-level density of states = 1.71 states/eV/f.u.
Space group = No. 225

Record 18
Material: HgSeF
Method: DFT, PBE-GGA
State: relaxed

```
HgSeF
1.0
-2.136 -1.518 -1.408
4.419 -3.382 -3.059
-1.180 -1.742 6.812
Se Hg F
2 2 2
Direct
0.821 0.821 0.642
0.179 0.179 0.358
0.868 0.368 0.735
0.132 0.632 0.265
0.500 0.701 0.000
0.500 0.299 0.000
```

Computed properties:
Polymorph energy (0 for the lowest one) = 0.322 eV per atom
Magnetic moment = 0.00 μB per formula unit
E = -13.9 eV for the cell shown
Raw formation energy = -0.4243 eV per atom
Fermi-level density of states = 2.62 states/eV/f.u.
Space group = No. 71

Record 19
Material: Hg5Se3F2
Method: DFT, PBE-GGA
State: relaxed

```
Hg5Se3F2
1.0
6.600 1.501 2.821
4.750 8.309 1.108
-3.012 -2.408 10.805
F Se Hg
4 6 10
Direct
0.047 0.617 0.960
0.953 0.383 0.040
0.718 0.645 0.581
0.282 0.355 0.419
0.540 0.156 0.106
0.460 0.844 0.894
0.838 0.305 0.327
0.257 0.175 0.673
0.743 0.825 0.327
0.162 0.695 0.673
0.953 0.721 0.500
0.222 0.088 0.124
0.778 0.912 0.876
0.861 0.484 0.867
0.419 0.665 0.175
0.139 0.516 0.133
0.047 0.279 0.500
0.752 0.086 0.321
0.581 0.335 0.825
0.248 0.914 0.679
```

Computed properties:
Magnetic moment = 0.00 μB per formula unit
E = -42.9 eV for the cell shown
Raw formation energy = -0.5721 eV per atom
Space group = No. 2

Record 20
Material: Hg2SeF2
Method: DFT, PBE-GGA
State: relaxed

```
Hg2SeF2
1.0
7.481 0.000 0.475
0.000 7.343 0.000
-0.259 0.000 9.008
Hg Se F
8 4 8
Direct
0.618 0.084 0.158
0.293 0.163 0.502
0.382 0.916 0.842
0.882 0.584 0.842
0.207 0.663 0.498
0.793 0.337 0.502
0.707 0.837 0.498
0.118 0.416 0.158
0.875 0.070 0.328
0.375 0.430 0.328
0.125 0.930 0.672
0.625 0.570 0.672
0.895 0.344 0.029
0.105 0.656 0.971
0.440 0.904 0.356
0.395 0.156 0.029
0.940 0.596 0.356
0.605 0.844 0.971
0.560 0.096 0.644
0.060 0.404 0.644
```

Computed properties:
Polymorph energy (0 for the lowest one) = 0.000 eV per atom
Magnetic moment = 0.00 μB per formula unit
E = -51.2 eV for the cell shown
Raw formation energy = -0.9958 eV per atom
Fermi-level density of states = 0.00 states/eV/f.u.
Space group = No. 14